Record 1
The following is a DFT calculation (PBE) of an optimized crystal structure of ScGaTc.

Cell: 6.2278 6.2278 6.2278 Å, 90.00 90.00 90.00°
Closest atoms and distances in Å follow each position.
Space group F-43m (No. 216)
Symmetry-distinct sites (fractional):
Sc 0.0000 0.0000 0.0000 [4 per cell]  4 Ga 2.70, 4 Tc 2.70
Ga 0.2500 0.2500 0.7500 [4 per cell]  4 Sc 2.70
Tc 0.2500 0.2500 0.2500 [4 per cell]  4 Sc 2.70

Output
* volume: 241.54 Å³ per cell
* ΔE to the lowest computed polymorph: 1154 meV per atom

Record 2
The following is a DFT calculation (PBE) of an optimized crystal structure of Ta2I.

Cell: 8.0778 8.0778 8.0778 Å, 90.00 90.00 90.00°
Closest atoms and distances in Å follow each position.
Space group Fd-3m (No. 227, origin choice 2)
Symmetry-distinct sites (fractional):
Ta 0.0000 0.0000 0.0000 [16 per cell]  6 Ta 2.86
I 0.1250 0.1250 0.6250 [8 per cell]  12 Ta 3.35, 4 I 3.50

Output
* volume: 527.09 Å³ per cell
* ΔE to the lowest computed polymorph: 0 meV per atom

Record 3
The following is a DFT calculation (PBE) of an optimized crystal structure of KNdGaTe3.

Cell: 4.8919 15.0907 12.0701 Å, 90.00 90.00 90.00°
Closest atoms and distances in Å follow each position.
Space group Cmcm (No. 63)
Symmetry-distinct sites (fractional):
K 0.0000 0.2479 0.2500 [4 per cell]  6 Te 3.71-3.73, 1 Ga 4.10
Nd 0.0000 0.0000 0.0000 [4 per cell]  6 Te 3.19-3.25
Ga 0.0000 0.4805 0.7500 [4 per cell]  4 Te 2.77-2.78
Te 0.0000 0.0676 0.7500 [4 per cell]  2 Ga 2.78
Te 0.0000 0.3689 0.5675 [8 per cell]  1 Ga 2.77

Output
* final energy: -4.0070 eV per atom
* volume: 891.04 Å³ per cell

Record 4
The following is a DFT calculation (PBE) of an optimized crystal structure of ZrAl2Pt2.

Cell: 3.8264 3.8264 11.9480 Å, 90.00 90.00 90.00°
Closest atoms and distances in Å follow each position.
Space group I4/mmm (No. 139)
Symmetry-distinct sites (fractional):
Zr 0.0000 0.0000 0.0000 [2 per cell]  8 Pt 3.01
Al 0.0000 0.5000 0.2500 [4 per cell]  4 Pt 2.53, 4 Al 2.71
Pt 0.0000 0.0000 0.3892 [4 per cell]  4 Al 2.53, 1 Pt 2.65

Output
* final energy: -6.5425 eV per atom
* volume: 174.94 Å³ per cell

Record 5
The following is a DFT calculation (PBE) of an optimized crystal structure of TbTlFeTe3.

Cell: 16.1066 4.2244 11.5938 Å, 90.00 90.00 90.00°
Closest atoms and distances in Å follow each position.
Space group Pnma (No. 62)
Symmetry-distinct sites (fractional):
Tb 0.0213 0.2500 0.1595 [4 per cell]  6 Te 3.05-3.13
Tl 0.2369 0.2500 0.4755 [4 per cell]  6 Te 3.37-3.58
Fe 0.0089 0.7500 0.4256 [4 per cell]  4 Te 2.60-2.70, 2 Fe 2.74
Te 0.0904 0.7500 0.6194 [4 per cell]  3 Fe 2.60-2.70
Te 0.1041 0.2500 0.9232 [4 per cell]  3 Tb 3.05-3.08, 2 Tl 3.37
Te 0.1332 0.7500 0.2737 [4 per cell]  1 Fe 2.67

Output
* volume: 788.85 Å³ per cell
* ΔE to the lowest computed polymorph: 0 meV per atom

Record 6
The following is a DFT calculation (PBE) of an optimized crystal structure of KNa3Zn2Ge2.

Cell: 6.0101 5.6415 6.2660 Å, 90.00 103.44 90.00°
Closest atoms and distances in Å follow each position.
Space group Pm (No. 6)
Symmetry-distinct sites (fractional):
K 0.0000 0.0000 0.0000 [1 per cell]  4 Ge 3.32-3.42, 5 Na 3.41-3.64, 4 Zn 3.50-3.52
Na 0.0775 0.5000 0.3769 [1 per cell]  4 Ge 3.32-3.42, 3 Na 3.33-3.53, 4 Zn 3.44-3.60, 2 K 3.64
Na 0.3593 0.0000 0.6518 [1 per cell]  4 Ge 3.11-3.34, 1 K 3.41
Na 0.7113 0.5000 0.7018 [1 per cell]  4 Ge 3.13-3.42, 3 Na 3.33-3.50, 2 Zn 3.46
Zn 0.5463 0.2513 0.1840 [2 per cell]  2 Ge 2.44-2.45
Ge 0.2901 0.5000 0.9159 [1 per cell]  2 Zn 2.44
Ge 0.7916 0.0000 0.4600 [1 per cell]  2 Zn 2.45

Output
* final energy: -2.2315 eV per atom
* volume: 206.64 Å³ per cell

Record 7
The following is a DFT calculation (PBE) of an optimized crystal structure of Ho2HfO4.

Cell: 9.3301 9.3301 9.3301 Å, 90.00 90.00 90.00°
Closest atoms and distances in Å follow each position.
Space group Fd-3m (No. 227, origin choice 2)
Symmetry-distinct sites (fractional):
Ho 0.0000 0.0000 0.0000 [16 per cell]  6 O 2.35
Hf 0.1250 0.1250 0.6250 [8 per cell]  4 O 1.98
O 0.0023 0.0023 0.7477 [32 per cell]  1 Hf 1.98

Output
* final energy: -8.5651 eV per atom
* volume: 812.19 Å³ per cell

Record 8
The following is a DFT calculation (PBE) of an optimized crystal structure of SrGa2Fe.

Cell: 6.8758 6.8758 6.8758 Å, 90.00 90.00 90.00°
Closest atoms and distances in Å follow each position.
Space group F-43m (No. 216)
Symmetry-distinct sites (fractional):
Sr 0.0000 0.0000 0.0000 [4 per cell]  4 Ga 2.98, 4 Fe 2.98
Ga 0.0000 0.0000 0.5000 [4 per cell]  4 Fe 2.98, 4 Ga 2.98
Ga 0.2500 0.2500 0.7500 [4 per cell]  4 Ga 2.98, 4 Sr 2.98
Fe 0.2500 0.2500 0.2500 [4 per cell]  4 Sr 2.98, 4 Ga 2.98

Output
* final energy: -3.7180 eV per atom
* volume: 325.06 Å³ per cell